Compound: FeRe5
Source: Alexandria via LeMat-Bulk
Functional: GGA-PBEsol
Structure: relaxed

The polymorph energy (0 for the lowest one) is 0.059 eV/atom. The formation energy comes out at 0.0819 eV/atom. The value obtained for the density of states at the Fermi level is 5.87 states/eV/cell. For the raw total energy, the calculation gives -12.52 eV per atom.

The space group is P4/mmm (No. 123) and the conventional cell measures 2.709, 2.709 and 11.368 Å, with angles of 90.00, 90.00 and 90.00 degrees. The asymmetric unit holds Fe at (0.000, 0.000, 0.000), Re at (0.000, 0.000, 0.328), Re at (0.500, 0.500, 0.151) and Re at (0.500, 0.500, 0.500).

=====

Compound: KBe2Ag
Source: Alexandria via LeMat-Bulk
Functional: GGA-PBEsol
Structure: relaxed

The formation energy comes out at 0.5204 eV/atom. The value obtained for the density of states at the Fermi level is 2.87 states/eV/cell. For the raw total energy, the calculation gives -2.59 eV per atom.

The space group is Amm2 (No. 38) and the conventional cell measures 3.416, 2.773 and 15.148 Å, with angles of 90.00, 90.00 and 90.00 degrees. The asymmetric unit holds K at (0.000, 0.000, 0.000), Be at (0.000, 0.000, 0.202), Be at (0.500, 0.000, 0.685) and Ag at (0.500, 0.000, 0.320).